A geometry-optimized LaFeIr2 structure. Source: Alexandria, functional GGA-PBE.

Cell: 6.5987 6.5987 6.5987 Å, 90.00 90.00 90.00°
Last column: nearest neighbours and their distance in Å.
Space group F-43m (No. 216)
Inequivalent atoms, fractional coordinates:
La 0.0000 0.0000 0.0000 [4 per cell]  4 Fe 2.86, 4 Ir 2.86
Fe 0.2500 0.2500 0.7500 [4 per cell]  4 Ir 2.86, 4 La 2.86
Ir 0.0000 0.0000 0.5000 [4 per cell]  4 Ir 2.86, 4 Fe 2.86
Ir 0.2500 0.2500 0.2500 [4 per cell]  4 La 2.86, 4 Ir 2.86

Computed properties:
Crystal system   cubic
Energy relative to the elements   0.207 eV per atom
Raw total energy   -7.571 eV per atom

A geometry-optimized YSiAs2 structure. Source: Alexandria, functional GGA-PBE.

Cell: 3.9261 3.9261 5.9545 Å, 90.00 90.00 90.00°
Last column: nearest neighbours and their distance in Å.
Space group P4mm (No. 99)
Inequivalent atoms, fractional coordinates:
Y 0.0000 0.0000 0.0000 [1 per cell]  6 As 2.79-3.07
Si 0.5000 0.5000 0.3752 [1 per cell]  1 As 2.47
As 0.0000 0.0000 0.4837 [1 per cell]  4 Si 2.85, 2 Y 2.88-3.07
As 0.5000 0.5000 0.9610 [1 per cell]  1 Si 2.47

Computed properties:
E_form (uncorrected)   -0.5161 eV per atom
Crystal system   tetragonal
Raw total energy   -5.813 eV per atom

A geometry-optimized Ho2TlTe structure. Source: Alexandria, functional GGA-PBE.

Cell: 4.0273 4.0273 25.2571 Å, 90.00 90.00 120.00°
Last column: nearest neighbours and their distance in Å.
Space group R3m (No. 160, hexagonal axes)
Inequivalent atoms, fractional coordinates:
Ho 0.0000 0.0000 0.0000 [3 per cell]  3 Te 3.04, 3 Tl 3.21
Ho 0.0000 0.0000 0.1768 [3 per cell]  3 Te 3.07, 3 Tl 3.23
Tl 0.0000 0.0000 0.4212 [3 per cell]  6 Ho 3.21-3.23
Te 0.0000 0.0000 0.5893 [3 per cell]  6 Ho 3.04-3.07

Computed properties:
E_form (uncorrected)   -0.7072 eV per atom
Crystal system   trigonal
Raw total energy   -4.373 eV per atom